Model P:
A plane-wave DFT calculation with GGA-PBE was carried out for crystalline BaLiAg at its relaxed geometry.

Calculated values
density of states at the Fermi level: 3.680 states/eV/cell

Unit cell a=3.8859 b=3.8859 c=11.6551 alpha=90.00 beta=90.00 gamma=90.00
Closest atoms and distances in Å follow each position.
Space group I4mm (No. 107)
Inequivalent atoms, fractional coordinates:
Ba 0.0000 0.0000 0.0000 (multiplicity 2)  1 Li 3.25, 5 Ag 3.55-3.57
Li 0.0000 0.0000 0.7214 (multiplicity 2)  4 Ag 2.91, 1 Ba 3.25
Ag 0.0000 0.0000 0.3044 (multiplicity 2)  4 Li 2.91

***

Model Q:
A plane-wave DFT calculation with GGA-PBE was carried out for crystalline BaLiAg at its relaxed geometry.

Calculated values
density of states at the Fermi level: 7.079 states/eV/cell

Unit cell a=7.6293 b=7.6293 c=7.6293 alpha=90.00 beta=90.00 gamma=90.00
Closest atoms and distances in Å follow each position.
Space group F-43m (No. 216)
Inequivalent atoms, fractional coordinates:
Ba 0.0000 0.0000 0.0000 (multiplicity 4)  4 Ag 3.30
Li 0.0000 0.0000 0.5000 (multiplicity 4)  4 Ag 3.30
Ag 0.2500 0.2500 0.2500 (multiplicity 4)  4 Ba 3.30, 4 Li 3.30

***

Model R:
A plane-wave DFT calculation with GGA-PBE was carried out for crystalline BaLiAg at its relaxed geometry.

Calculated values
density of states at the Fermi level: 5.458 states/eV/cell

Unit cell a=7.8225 b=7.8225 c=7.8225 alpha=90.00 beta=90.00 gamma=90.00
Closest atoms and distances in Å follow each position.
Space group F-43m (No. 216)
Inequivalent atoms, fractional coordinates:
Ba 0.0000 0.0000 0.0000 (multiplicity 4)  4 Ag 3.39, 4 Li 3.39
Li 0.2500 0.2500 0.7500 (multiplicity 4)  4 Ba 3.39
Ag 0.2500 0.2500 0.2500 (multiplicity 4)  4 Ba 3.39

***

Model S:
A plane-wave DFT calculation with GGA-PBE was carried out for crystalline BaLiAg at its relaxed geometry.

Calculated values
density of states at the Fermi level: 3.191 states/eV/cell

Unit cell a=4.6978 b=4.6978 c=8.3794 alpha=90.00 beta=90.00 gamma=90.00
Closest atoms and distances in Å follow each position.
Space group P4/nmm (No. 129, origin choice 2)
Inequivalent atoms, fractional coordinates:
Ba 0.2500 0.2500 0.1687 (multiplicity 2)  4 Ag 3.51, 4 Li 3.64
Li 0.2500 0.7500 0.5000 (multiplicity 2)  4 Ag 2.86
Ag 0.2500 0.2500 0.6951 (multiplicity 2)  4 Li 2.86

***

Ordering by calculated energy gives the sequence model S, model P, model Q, model R, with the first entry being the most stable.

***

Model P:
A plane-wave DFT calculation with GGA-PBE was carried out for crystalline BaLiAg at its relaxed geometry.

Calculated values
density of states at the Fermi level: 1.258 states/eV/cell

Unit cell a=4.8468 b=4.8468 c=4.6690 alpha=90.00 beta=90.00 gamma=120.00
Closest atoms and distances in Å follow each position.
Space group P-6m2 (No. 187)
Inequivalent atoms, fractional coordinates:
Ba 0.0000 0.0000 0.0000 (multiplicity 1)  6 Li 3.64, 6 Ag 3.64
Li 0.6667 0.3333 0.5000 (multiplicity 1)  3 Ag 2.80
Ag 0.3333 0.6667 0.5000 (multiplicity 1)  3 Li 2.80

***

Model Q:
A plane-wave DFT calculation with GGA-PBE was carried out for crystalline BaLiAg at its relaxed geometry.

Calculated values
density of states at the Fermi level: 6.683 states/eV/cell

Unit cell a=6.7962 b=6.5497 c=8.9117 alpha=90.00 beta=112.24 gamma=90.00
Closest atoms and distances in Å follow each position.
Space group P2_1/c (No. 14)
Inequivalent atoms, fractional coordinates:
Ba 0.1897 0.1277 0.3698 (multiplicity 4)  5 Ag 3.51-3.60, 6 Li 3.59-3.90
Li 0.4117 0.6031 0.3059 (multiplicity 4)  3 Ag 2.82-2.88
Ag 0.2152 0.6311 0.5328 (multiplicity 4)  3 Li 2.82-2.88

***

Ordering by calculated energy gives the sequence model P, model Q, with the first entry being the most stable.

***

Model P:
A plane-wave DFT calculation with GGA-PBE was carried out for crystalline Ba4LiAg2 at its relaxed geometry.

Calculated values
density of states at the Fermi level: 26.238 states/eV/cell

Unit cell a=13.8828 b=10.0422 c=9.3924 alpha=90.00 beta=109.44 gamma=90.00
Closest atoms and distances in Å follow each position.
Space group Cm (No. 8)
Inequivalent atoms, fractional coordinates:
Ba 0.0000 0.0000 0.0000 (multiplicity 2)  2 Li 3.51-3.71, 3 Ag 3.54-3.75
Ba 0.0018 0.0000 0.5109 (multiplicity 2)  3 Ag 3.54-3.64, 2 Li 3.54-3.68
Ba 0.0140 0.5000 0.0110 (multiplicity 2)  4 Ag 3.49-3.65
Ba 0.0169 0.5000 0.5144 (multiplicity 2)  4 Ag 3.49-3.57
Ba 0.2802 0.2612 0.1453 (multiplicity 4)  3 Ag 3.45-3.51, 2 Li 3.61-3.65
Ba 0.2892 0.2592 0.6521 (multiplicity 4)  4 Ag 3.48-3.84, 2 Li 3.66-3.67
Li 0.2049 0.0000 0.8599 (multiplicity 2)  2 Ag 2.94
Li 0.2159 0.0000 0.3617 (multiplicity 2)  7 Ba 3.61-3.94
Ag 0.0824 0.2454 0.7960 (multiplicity 4)  1 Li 2.94, 1 Ag 3.08
Ag 0.2135 0.5000 0.8618 (multiplicity 2)  2 Ag 3.08
Ag 0.2241 0.5000 0.3696 (multiplicity 2)  7 Ba 3.45-3.65

***

Model Q:
A plane-wave DFT calculation with GGA-PBE was carried out for crystalline Ba4LiAg2 at its relaxed geometry.

Calculated values
density of states at the Fermi level: 22.274 states/eV/cell

Unit cell a=5.8044 b=5.8044 c=30.3072 alpha=90.00 beta=90.00 gamma=120.00
Closest atoms and distances in Å follow each position.
Space group R-3m (No. 166, hexagonal axes)
Inequivalent atoms, fractional coordinates:
Ba 0.0000 0.0000 0.1185 (multiplicity 6)  3 Ag 3.58, 3 Li 3.66
Ba 0.0000 0.0000 0.2926 (multiplicity 6)  4 Ag 3.53-3.57
Li 0.0000 0.0000 0.5000 (multiplicity 3)  2 Ag 2.71
Ag 0.0000 0.0000 0.4104 (multiplicity 6)  1 Li 2.71

***

Ordering by calculated energy gives the sequence model P, model Q, with the first entry being the most stable.